(1)
Here is a relaxed Ac2PrIn crystal from the Alexandria database. Energies are from GGA-PBE.

## Properties
- relative energy among the computed polymorphs (kcal/mol of atoms) = 1.188

a = 6.806 Å, b = 7.370 Å, c = 7.100 Å
α = 103.80°, β = 118.64°, γ = 90.00°
Element x y z (fractional)
Pr 0.698 0.250 0.000
Ac 0.773 0.395 0.559
In 0.213 0.250 0.000
Pr 0.302 0.750 0.000
Ac 0.214 0.105 0.441
In 0.787 0.750 0.000
Ac 0.227 0.605 0.441
Ac 0.786 0.895 0.559


(2)
Here is a relaxed Ac3PrIn2 crystal from the Alexandria database. Energies are from GGA-PBE.

a = 7.135 Å, b = 7.161 Å, c = 10.219 Å
α = 110.51°, β = 110.43°, γ = 90.00°
Element x y z (fractional)
Ac 0.500 0.250 0.000
Ac 0.426 0.679 0.357
Ac 0.574 0.321 0.643
Pr 0.000 0.250 0.000
Pr 0.000 0.750 0.000
In 0.373 0.131 0.262
In 0.890 0.631 0.262
Ac 0.500 0.750 0.000
In 0.627 0.869 0.738
Ac 0.068 0.821 0.643
Ac 0.932 0.179 0.357
In 0.110 0.369 0.738


(3)
Here is a relaxed Ac4Pr3In4 crystal from the Alexandria database. Energies are from GGA-PBE.

a = 3.861 Å, b = 10.025 Å, c = 11.506 Å
α = 115.82°, β = 99.66°, γ = 90.00°
Element x y z (fractional)
In 0.500 0.780 0.000
Ac 0.336 0.515 0.672
Pr 0.908 0.908 0.816
Ac 0.336 0.156 0.672
In 0.278 0.778 0.555
In 0.500 0.220 0.000
In 0.722 0.222 0.445
Ac 0.664 0.844 0.328
Pr 0.000 0.500 0.000
Ac 0.664 0.485 0.328
Pr 0.092 0.092 0.184


no.,ΔH_f (0 K) (eV/atom)
1,-0.146
2,-0.268
3,-0.293